(1)
Density functional theory data (PBEsol) for a relaxed structure of YTi3Ga.

* ΔH_f (0 K): 1.4243 eV/atom
* density of states at the Fermi level: 7.59 states/eV/cell
* E_tot: -5.60 eV/atom

a b c (Å): 4.690 4.690 4.690
angles (deg): 90.00 90.00 90.00
Space group Pm-3m (No. 221)
One atom of each set of equivalent atoms:
Y (0.000, 0.000, 0.000)
Ti (0.000, 0.000, 0.500)
Ga (0.500, 0.500, 0.500)

(2)
Density functional theory data (PBEsol) for a relaxed structure of YTi2Ga2.

* ΔH_f (0 K): -0.4501 eV/atom
* density of states at the Fermi level: 10.14 states/eV/cell
* E_tot: -6.48 eV/atom

a b c (Å): 3.973 3.973 11.964
angles (deg): 90.00 90.00 90.00
Space group I4/mmm (No. 139)
One atom of each set of equivalent atoms:
Y (0.000, 0.000, 0.000)
Ti (0.000, 0.500, 0.250)
Ga (0.000, 0.000, 0.397)

(3)
Density functional theory data (PBEsol) for a relaxed structure of Zr3Ti2Ga3.

* ΔH_f (0 K): -0.5462 eV/atom
* density of states at the Fermi level: 21.60 states/eV/cell
* E_tot: -7.29 eV/atom

a b c (Å): 7.8731 7.8731 5.3569
angles (deg): 90.00 90.00 120.00
Space group P6_3/mcm (No. 193)
One atom of each set of equivalent atoms:
Zr (0.0000, 0.2428, 0.2500)
Ti (0.3333, 0.6667, 0.0000)
Ga (0.0000, 0.4020, 0.7500)